This record from the Alexandria database describes an optimized crystal structure of MgFe4O6. The functional is PBE+U.

Unit cell a=2.960 b=10.097 c=15.350 alpha=90.00 beta=90.00 gamma=90.00
Space group Cmcm (No. 63)
Asymmetric unit:
Mg 0.000 0.148 0.250 [4 per cell]
Fe 0.000 0.103 0.638 [8 per cell]
Fe 0.000 0.366 0.547 [8 per cell]
O 0.000 0.000 0.000 [4 per cell]
O 0.000 0.205 0.750 [4 per cell]
O 0.000 0.284 0.084 [8 per cell]
O 0.000 0.467 0.664 [8 per cell]

Output
M_tot (μB per atom): 1.64
Mass density (g cm⁻³): 4.98
E_tot (hartree per atom): -0.2387